# 1
First-principles (PBE) data for crystalline Al2CrW at its relaxed geometry, as listed in Alexandria via LeMat-Bulk.

For the relative energy among the computed polymorphs, the calculation gives 0.181 eV/atom. The value obtained for the total magnetic moment is 0.000 μB/f.u. The density of states at the Fermi level is 6.78 states/eV/cell. The crystal system is monoclinic. The calculation puts the density at 8308 kg/m3. Its formation energy is 0.072 eV/atom. For the final energy, the calculation gives -7.444 eV per atom.

It has space group Cm (No. 8), with a = 9.0296 Å, b = 2.7083 Å, c = 4.7878 Å, α = 90.00°, β = 98.35° and γ = 90.00°. The inequivalent atoms are Al at (0.0000, 0.0000, 0.0000), Al at (0.2485, 0.0000, 0.7512), Cr at (0.2451, 0.5000, 0.2438) and W at (0.4981, 0.0000, 0.4972).

=====

# 2
First-principles (PBE) data for crystalline AlCrW2 at its relaxed geometry, as listed in Alexandria via LeMat-Bulk.

The value obtained for the total magnetic moment is 1.571 μB/f.u. The density of states at the Fermi level is 10.44 states/eV/cell. The crystal system is trigonal. The calculation puts the density at 12194 kg/m3. Its formation energy is 0.313 eV/atom. For the final energy, the calculation gives -9.505 eV per atom.

It has space group R-3m (No. 166, hexagonal axes), with a = 2.7905 Å, b = 2.7905 Å, c = 27.0587 Å, α = 90.00°, β = 90.00° and γ = 120.00°. The inequivalent atoms are Al at (0.0000, 0.0000, 0.0000), Cr at (0.0000, 0.0000, 0.5000) and W at (0.0000, 0.0000, 0.2484).

=====

# 3
First-principles (PBE) data for crystalline Al2CrW at its relaxed geometry, as listed in Alexandria via LeMat-Bulk.

For the relative energy among the computed polymorphs, the calculation gives 0.125 eV/atom. The value obtained for the total magnetic moment is 0.000 μB/f.u. The density of states at the Fermi level is 5.59 states/eV/cell. The crystal system is orthorhombic. The calculation puts the density at 8388 kg/m3. Its formation energy is 0.016 eV/atom. For the final energy, the calculation gives -7.499 eV per atom.

It has space group Cmmm (No. 65), with a = 3.2753 Å, b = 4.2233 Å, c = 8.2945 Å, α = 90.00°, β = 90.00° and γ = 90.00°. The inequivalent atoms are Al at (0.0000, 0.0000, 0.2365), Cr at (0.0000, 0.5000, 0.0000) and W at (0.0000, 0.5000, 0.5000).

=====

# 4
First-principles (PBE) data for crystalline AlCr2W2 at its relaxed geometry, as listed in Alexandria via LeMat-Bulk.

The value obtained for the total magnetic moment is 0.000 μB/f.u. The density of states at the Fermi level is 8.45 states/eV/cell. The crystal system is monoclinic. The calculation puts the density at 11333 kg/m3. Its formation energy is 0.325 eV/atom. For the final energy, the calculation gives -9.454 eV per atom.

It has space group C2/m (No. 12), with a = 6.4655 Å, b = 7.0381 Å, c = 4.2211 Å, α = 90.00°, β = 130.47° and γ = 90.00°. The inequivalent atoms are Al at (0.0000, 0.0000, 0.0000), Cr at (0.2164, 0.5000, 0.2189) and W at (0.0000, 0.2941, 0.5000).

=====

# 5
First-principles (PBE) data for crystalline AlCr2W at its relaxed geometry, as listed in Alexandria via LeMat-Bulk.

The value obtained for the total magnetic moment is 3.784 μB/f.u. The density of states at the Fermi level is 8.94 states/eV/cell. The crystal system is orthorhombic. The calculation puts the density at 8483 kg/m3. Its formation energy is 0.834 eV/atom. For the final energy, the calculation gives -8.152 eV per atom.

It has space group Immm (No. 71), with a = 2.6623 Å, b = 4.5941 Å, c = 10.0774 Å, α = 90.00°, β = 90.00° and γ = 90.00°. The inequivalent atoms are Al at (0.0000, 0.0000, 0.0000), Cr at (0.0000, 0.0000, 0.2560) and W at (0.0000, 0.0000, 0.5000).

=====

# 6
First-principles (PBE) data for crystalline AlCr2W at its relaxed geometry, as listed in Alexandria via LeMat-Bulk.

The value obtained for the total magnetic moment is 0.536 μB/f.u. The density of states at the Fermi level is 6.82 states/eV/cell. The crystal system is orthorhombic. The calculation puts the density at 9710 kg/m3. Its formation energy is -0.036 eV/atom. For the final energy, the calculation gives -9.022 eV per atom.

It has space group Imm2 (No. 44), with a = 3.0082 Å, b = 4.2420 Å, c = 8.4375 Å, α = 90.00°, β = 90.00° and γ = 90.00°. The inequivalent atoms are Al at (0.0000, 0.0000, 0.0000), Cr at (0.0000, 0.0000, 0.4827), Cr at (0.0000, 0.5000, 0.7567) and W at (0.0000, 0.5000, 0.2299).

=====

# 7
First-principles (PBE) data for crystalline Al2CrW at its relaxed geometry, as listed in Alexandria via LeMat-Bulk.

For the relative energy among the computed polymorphs, the calculation gives 0.119 eV/atom. The value obtained for the total magnetic moment is 0.000 μB/f.u. The density of states at the Fermi level is 4.90 states/eV/cell. The crystal system is monoclinic. The calculation puts the density at 8389 kg/m3. Its formation energy is 0.010 eV/atom. For the final energy, the calculation gives -7.506 eV per atom.

It has space group C2/m (No. 12), with a = 5.2996 Å, b = 8.4033 Å, c = 2.6699 Å, α = 90.00°, β = 105.24° and γ = 90.00°. The inequivalent atoms are Al at (0.2500, 0.2500, 0.0000), Cr at (0.0000, 0.0000, 0.5000) and W at (0.0000, 0.5000, 0.5000).

=====

# 8
First-principles (PBE) data for crystalline AlCr2W at its relaxed geometry, as listed in Alexandria via LeMat-Bulk.

The value obtained for the total magnetic moment is 0.000 μB/f.u. The density of states at the Fermi level is 3.64 states/eV/cell. The crystal system is monoclinic. The calculation puts the density at 9652 kg/m3. Its formation energy is 0.046 eV/atom. For the final energy, the calculation gives -8.940 eV per atom.

It has space group Pm (No. 6), with a = 2.6291 Å, b = 4.1603 Å, c = 5.0640 Å, α = 90.00°, β = 102.10° and γ = 90.00°. The inequivalent atoms are Al at (0.0000, 0.0000, 0.0000), Cr at (0.5643, 0.0000, 0.4781), Cr at (0.7633, 0.5000, 0.2434) and W at (0.3220, 0.5000, 0.7365).

=====

# 9
First-principles (PBE) data for crystalline Al2CrW at its relaxed geometry, as listed in Alexandria via LeMat-Bulk.

For the relative energy among the computed polymorphs, the calculation gives 0.218 eV/atom. The value obtained for the total magnetic moment is 0.000 μB/f.u. The density of states at the Fermi level is 5.27 states/eV/cell. The crystal system is orthorhombic. The calculation puts the density at 8121 kg/m3. Its formation energy is 0.109 eV/atom. For the final energy, the calculation gives -7.406 eV per atom.

It has space group Cmm2 (No. 35), with a = 3.1344 Å, b = 4.3951 Å, c = 8.6025 Å, α = 90.00°, β = 90.00° and γ = 90.00°. The inequivalent atoms are Al at (0.0000, 0.0000, 0.0000), Al at (0.0000, 0.5000, 0.2755), Cr at (0.0000, 0.5000, 0.7688) and W at (0.0000, 0.0000, 0.5303).

=====

# 10
First-principles (PBE) data for crystalline Al2CrW at its relaxed geometry, as listed in Alexandria via LeMat-Bulk.

For the relative energy among the computed polymorphs, the calculation gives 0.092 eV/atom. The value obtained for the total magnetic moment is 0.000 μB/f.u. The density of states at the Fermi level is 4.70 states/eV/cell. The crystal system is monoclinic. The calculation puts the density at 8463 kg/m3. Its formation energy is -0.017 eV/atom. For the final energy, the calculation gives -7.533 eV per atom.

It has space group C2/m (No. 12), with a = 9.4782 Å, b = 3.1379 Å, c = 4.2721 Å, α = 90.00°, β = 116.49° and γ = 90.00°. The inequivalent atoms are Al at (0.2396, 0.0000, 0.2395), Cr at (0.0000, 0.5000, 0.0000) and W at (0.0000, 0.0000, 0.5000).

=====

# 11
First-principles (PBE) data for crystalline AlCrW2 at its relaxed geometry, as listed in Alexandria via LeMat-Bulk.

The value obtained for the total magnetic moment is 0.000 μB/f.u. The density of states at the Fermi level is 5.74 states/eV/cell. The crystal system is orthorhombic. The calculation puts the density at 12518 kg/m3. Its formation energy is 0.067 eV/atom. For the final energy, the calculation gives -9.751 eV per atom.

It has space group Cmmm (No. 65), with a = 3.1270 Å, b = 4.4305 Å, c = 8.5537 Å, α = 90.00°, β = 90.00° and γ = 90.00°. The inequivalent atoms are Al at (0.0000, 0.0000, 0.0000), Cr at (0.0000, 0.0000, 0.5000) and W at (0.0000, 0.5000, 0.2581).

=====

# 12
First-principles (PBE) data for crystalline Al2CrW at its relaxed geometry, as listed in Alexandria via LeMat-Bulk.

For the relative energy among the computed polymorphs, the calculation gives 0.048 eV/atom. The value obtained for the total magnetic moment is 0.000 μB/f.u. The density of states at the Fermi level is 4.27 states/eV/cell. The crystal system is orthorhombic. The calculation puts the density at 8594 kg/m3. Its formation energy is -0.060 eV/atom. For the final energy, the calculation gives -7.576 eV per atom.

It has space group F222 (No. 22), with a = 6.0570 Å, b = 6.0662 Å, c = 6.0960 Å, α = 90.00°, β = 90.00° and γ = 90.00°. The inequivalent atoms are Al at (0.0000, 0.0000, 0.0000), Al at (0.2500, 0.2500, 0.2500), Cr at (0.0000, 0.0000, 0.5000) and W at (0.2500, 0.2500, 0.7500).

=====

# 13
First-principles (PBE) data for crystalline Al2CrW at its relaxed geometry, as listed in Alexandria via LeMat-Bulk.

For the relative energy among the computed polymorphs, the calculation gives 0.135 eV/atom. The value obtained for the total magnetic moment is 1.642 μB/f.u. The density of states at the Fermi level is 5.61 states/eV/cell. The crystal system is tetragonal. The calculation puts the density at 8275 kg/m3. Its formation energy is 0.026 eV/atom. For the final energy, the calculation gives -7.489 eV per atom.

It has space group I4/mmm (No. 139), with a = 3.7943 Å, b = 3.7943 Å, c = 8.0793 Å, α = 90.00°, β = 90.00° and γ = 90.00°. The inequivalent atoms are Al at (0.0000, 0.5000, 0.2500), Cr at (0.0000, 0.0000, 0.0000) and W at (0.0000, 0.0000, 0.5000).

=====

# 14
First-principles (PBE) data for crystalline AlCrW at its relaxed geometry, as listed in Alexandria via LeMat-Bulk.

For the relative energy among the computed polymorphs, the calculation gives 0.000 eV/atom. The value obtained for the total magnetic moment is 0.000 μB/f.u. The density of states at the Fermi level is 1.69 states/eV/cell. The crystal system is trigonal. The calculation puts the density at 10270 kg/m3. Its formation energy is -0.040 eV/atom. For the final energy, the calculation gives -8.813 eV per atom.

It has space group P3m1 (No. 156), with a = 4.2810 Å, b = 4.2810 Å, c = 2.6773 Å, α = 90.00°, β = 90.00° and γ = 120.00°. The inequivalent atoms are Al at (0.0000, 0.0000, 0.0000), Cr at (0.6667, 0.3333, 0.3296) and W at (0.3333, 0.6667, 0.5808).

=====

# 15
First-principles (PBE) data for crystalline AlCr2W at its relaxed geometry, as listed in Alexandria via LeMat-Bulk.

The value obtained for the total magnetic moment is 0.000 μB/f.u. The density of states at the Fermi level is 7.32 states/eV/cell. The crystal system is orthorhombic. The calculation puts the density at 9609 kg/m3. Its formation energy is 0.063 eV/atom. For the final energy, the calculation gives -8.923 eV per atom.

It has space group Immm (No. 71), with a = 3.0949 Å, b = 4.2715 Å, c = 8.2306 Å, α = 90.00°, β = 90.00° and γ = 90.00°. The inequivalent atoms are Al at (0.0000, 0.0000, 0.0000), Cr at (0.0000, 0.5000, 0.2407) and W at (0.0000, 0.0000, 0.5000).

=====

# 16
First-principles (PBE) data for crystalline AlCrW2 at its relaxed geometry, as listed in Alexandria via LeMat-Bulk.

The value obtained for the total magnetic moment is 0.000 μB/f.u. The density of states at the Fermi level is 3.22 states/eV/cell. The crystal system is tetragonal. The calculation puts the density at 12614 kg/m3. Its formation energy is 0.162 eV/atom. For the final energy, the calculation gives -9.656 eV per atom.

It has space group P4/mmm (No. 123), with a = 2.9715 Å, b = 2.9715 Å, c = 6.6591 Å, α = 90.00°, β = 90.00° and γ = 90.00°. The inequivalent atoms are Al at (0.0000, 0.0000, 0.0000), Cr at (0.0000, 0.0000, 0.5000) and W at (0.5000, 0.5000, 0.2711).

=====

# 17
First-principles (PBE) data for crystalline AlCrW at its relaxed geometry, as listed in Alexandria via LeMat-Bulk.

For the relative energy among the computed polymorphs, the calculation gives 0.000 eV/atom. The value obtained for the total magnetic moment is 0.011 μB/f.u. The density of states at the Fermi level is 9.36 states/eV/cell. The crystal system is orthorhombic. The calculation puts the density at 10293 kg/m3. Its formation energy is -0.039 eV/atom. For the final energy, the calculation gives -8.812 eV per atom.

It has space group Pnma (No. 62), with a = 5.9775 Å, b = 3.1345 Å, c = 9.0517 Å, α = 90.00°, β = 90.00° and γ = 90.00°. The inequivalent atoms are Al at (0.1297, 0.2500, 0.0921), Cr at (0.1276, 0.2500, 0.7552) and W at (0.1232, 0.2500, 0.4072).

=====

# 18
First-principles (PBE) data for crystalline Al2CrW at its relaxed geometry, as listed in Alexandria via LeMat-Bulk.

For the relative energy among the computed polymorphs, the calculation gives 0.092 eV/atom. The value obtained for the total magnetic moment is 0.000 μB/f.u. The density of states at the Fermi level is 5.36 states/eV/cell. The crystal system is orthorhombic. The calculation puts the density at 8313 kg/m3. Its formation energy is -0.017 eV/atom. For the final energy, the calculation gives -7.532 eV per atom.

It has space group Imm2 (No. 44), with a = 3.2306 Å, b = 4.2788 Å, c = 8.3759 Å, α = 90.00°, β = 90.00° and γ = 90.00°. The inequivalent atoms are Al at (0.0000, 0.0000, 0.0000), Al at (0.0000, 0.5000, 0.2324), Cr at (0.0000, 0.0000, 0.4843) and W at (0.0000, 0.5000, 0.7632).

=====

# 19
First-principles (PBE) data for crystalline AlCr2W at its relaxed geometry, as listed in Alexandria via LeMat-Bulk.

The value obtained for the total magnetic moment is 0.001 μB/f.u. The density of states at the Fermi level is 3.54 states/eV/cell. The crystal system is tetragonal. The calculation puts the density at 9691 kg/m3. Its formation energy is 0.055 eV/atom. For the final energy, the calculation gives -8.930 eV per atom.

It has space group P4mm (No. 99), with a = 2.8681 Å, b = 2.8681 Å, c = 6.5572 Å, α = 90.00°, β = 90.00° and γ = 90.00°. The inequivalent atoms are Al at (0.0000, 0.0000, 0.0000), Cr at (0.0000, 0.0000, 0.4338), Cr at (0.5000, 0.5000, 0.2498) and W at (0.5000, 0.5000, 0.7092).

=====

# 20
First-principles (PBE) data for crystalline AlCr2W at its relaxed geometry, as listed in Alexandria via LeMat-Bulk.

The value obtained for the total magnetic moment is 0.752 μB/f.u. The density of states at the Fermi level is 3.50 states/eV/cell. The crystal system is orthorhombic. The calculation puts the density at 9509 kg/m3. Its formation energy is 0.187 eV/atom. For the final energy, the calculation gives -8.799 eV per atom.

It has space group Pmm2 (No. 25), with a = 2.5867 Å, b = 4.1302 Å, c = 5.1459 Å, α = 90.00°, β = 90.00° and γ = 90.00°. The inequivalent atoms are Al at (0.0000, 0.0000, 0.0000), Cr at (0.0000, 0.0000, 0.4875), Cr at (0.5000, 0.5000, 0.2333) and W at (0.5000, 0.5000, 0.7363).